1.
CeMg2ZnPt4: relaxed, GGA-PBE.

a b c (Å): 8.6303 8.6303 8.6303
angles (deg): 29.99 29.99 29.99
With the nearest neighbours (Å) after each atom.
Sites, in units of the cell vectors:
Ce 0.0000 0.0000 0.0000  8 Pt 2.99-3.19
Mg 0.2400 0.2400 0.2400  7 Pt 2.69-2.74
Mg 0.7600 0.7600 0.7600  7 Pt 2.69-2.74
Zn 0.5000 0.5000 0.5000  8 Pt 2.60-2.74
Pt 0.1291 0.1291 0.1291  4 Mg 2.73-2.74, 3 Zn 2.74
Pt 0.3949 0.3949 0.3949  1 Zn 2.60, 3 Mg 2.69
Pt 0.6051 0.6051 0.6051  1 Zn 2.60, 3 Mg 2.69
Pt 0.8709 0.8709 0.8709  4 Mg 2.73-2.74, 3 Zn 2.74

## Properties
The size of the total moment comes out at 0.0 Bohr magnetons per cell.


2.
Ce6PuMg: relaxed, GGA-PBE.

a b c (Å): 7.0240 7.0240 11.9521
angles (deg): 100.25 100.25 51.24
With the nearest neighbours (Å) after each atom.
Sites, in units of the cell vectors:
Ce 0.0071 0.8332 0.6030  1 Pu 2.47
Ce 0.1376 0.2988 0.6780  1 Pu 2.47
Ce 0.1668 0.9929 0.8970  1 Pu 2.47
Ce 0.2794 0.4341 0.9652  1 Pu 2.49
Ce 0.2988 0.1376 0.1780  1 Pu 2.47
Ce 0.4341 0.2794 0.4652  1 Pu 2.49
Ce 0.5659 0.7206 0.5348  1 Pu 2.49
Ce 0.7012 0.8624 0.8220  1 Pu 2.47
Ce 0.7206 0.5659 0.0348  1 Pu 2.49
Ce 0.8332 0.0071 0.1030  1 Pu 2.47
Ce 0.8624 0.7012 0.3220  1 Pu 2.47
Ce 0.9929 0.1668 0.3970  1 Pu 2.47
Pu 0.0000 0.5000 0.5000  6 Ce 2.47-2.49
Pu 0.5000 0.0000 0.0000  6 Ce 2.47-2.49
Mg 0.4135 0.5865 0.2500  12 Ce 3.53-3.66
Mg 0.5865 0.4135 0.7500  12 Ce 3.53-3.66

## Properties
The size of the total moment comes out at 0.0 Bohr magnetons per cell.


3.
Ce4PuMg3: relaxed, GGA-PBE.

a b c (Å): 5.0579 9.2419 8.8736
angles (deg): 90.00 90.00 90.00
With the nearest neighbours (Å) after each atom.
Sites, in units of the cell vectors:
Ce 0.2500 0.0180 0.1332  1 Pu 2.48
Ce 0.2500 0.2500 0.7887  2 Pu 2.64
Ce 0.2500 0.4820 0.1332  1 Pu 2.48
Ce 0.2500 0.7500 0.8508  1 Pu 2.44
Ce 0.7500 0.2500 0.1492  1 Pu 2.44
Ce 0.7500 0.5180 0.8668  1 Pu 2.48
Ce 0.7500 0.7500 0.2113  2 Pu 2.64
Ce 0.7500 0.9820 0.8668  1 Pu 2.48
Pu 0.2500 0.7500 0.1261  5 Ce 2.44-2.64
Pu 0.7500 0.2500 0.8739  5 Ce 2.44-2.64
Mg 0.2500 0.2500 0.4111  6 Mg 3.08-3.19, 5 Ce 3.27-3.43
Mg 0.2500 0.5878 0.4868  6 Mg 3.00-3.19, 1 Ce 3.29
Mg 0.2500 0.9122 0.4868  6 Mg 3.00-3.19, 1 Ce 3.29
Mg 0.7500 0.0878 0.5132  6 Mg 3.00-3.19, 1 Ce 3.29
Mg 0.7500 0.4122 0.5132  6 Mg 3.00-3.19, 1 Ce 3.29
Mg 0.7500 0.7500 0.5889  6 Mg 3.08-3.19, 5 Ce 3.27-3.43

## Properties
The size of the total moment comes out at 4.5 Bohr magnetons per cell.


4.
Ce5PuMg: relaxed, GGA-PBE.

a b c (Å): 7.9864 7.9864 6.0584
angles (deg): 107.07 107.07 77.04
With the nearest neighbours (Å) after each atom.
Sites, in units of the cell vectors:
Ce 0.1124 0.8876 0.7500  4 Ce 2.97-3.27, 2 Pu 3.22, 1 Mg 3.31
Ce 0.1225 0.6604 0.0643  3 Ce 2.80-3.01
Ce 0.1877 0.2723 0.7181  1 Pu 2.52
Ce 0.2723 0.1877 0.2181  1 Pu 2.52
Ce 0.3396 0.8775 0.4357  3 Ce 2.80-3.01
Ce 0.6604 0.1225 0.5643  3 Ce 2.80-3.01
Ce 0.7277 0.8123 0.7819  1 Pu 2.52
Ce 0.8123 0.7277 0.2819  1 Pu 2.52
Ce 0.8775 0.3396 0.9357  3 Ce 2.80-3.01
Ce 0.8876 0.1124 0.2500  4 Ce 2.97-3.27, 2 Pu 3.22, 1 Mg 3.31
Pu 0.0000 0.5000 0.5000  2 Ce 2.52
Pu 0.5000 0.0000 0.0000  2 Ce 2.52
Mg 0.4448 0.5552 0.7500  2 Mg 3.22, 7 Ce 3.31-3.52, 2 Pu 3.50
Mg 0.5552 0.4448 0.2500  2 Mg 3.22, 7 Ce 3.31-3.52, 2 Pu 3.50

## Properties
The size of the total moment comes out at 0.3 Bohr magnetons per cell.


5.
CePuMg2: relaxed, GGA-PBE.

a b c (Å): 3.1017 3.1017 10.4491
angles (deg): 90.00 90.00 90.00
With the nearest neighbours (Å) after each atom.
Sites, in units of the cell vectors:
Ce 0.0000 0.0000 0.0000  4 Ce 3.10, 8 Mg 3.43
Pu 0.0000 0.0000 0.5000  4 Pu 3.10, 8 Mg 3.39
Mg 0.5000 0.5000 0.2530  4 Mg 3.10, 4 Pu 3.39, 4 Ce 3.43
Mg 0.5000 0.5000 0.7470  4 Mg 3.10, 4 Pu 3.39, 4 Ce 3.43

## Properties
The size of the total moment comes out at 5.3 Bohr magnetons per cell.


6.
Ce6PuMg3: relaxed, GGA-PBE.

a b c (Å): 8.3951 8.3951 8.3951
angles (deg): 77.69 77.69 77.69
With the nearest neighbours (Å) after each atom.
Sites, in units of the cell vectors:
Ce 0.1434 0.8088 0.8088  1 Pu 2.46
Ce 0.1912 0.1912 0.8566  1 Pu 2.46
Ce 0.1912 0.8566 0.1912  1 Pu 2.46
Ce 0.1962 0.5271 0.5271  1 Pu 2.48
Ce 0.4729 0.4729 0.8038  1 Pu 2.48
Ce 0.4729 0.8038 0.4729  1 Pu 2.48
Ce 0.5271 0.1962 0.5271  1 Pu 2.48
Ce 0.5271 0.5271 0.1962  1 Pu 2.48
Ce 0.8038 0.4729 0.4729  1 Pu 2.48
Ce 0.8088 0.1434 0.8088  1 Pu 2.46
Ce 0.8088 0.8088 0.1434  1 Pu 2.46
Ce 0.8566 0.1912 0.1912  1 Pu 2.46
Pu 0.0000 0.0000 0.0000  6 Ce 2.46
Pu 0.5000 0.5000 0.5000  6 Ce 2.48
Mg 0.1403 0.1403 0.4642  3 Mg 3.41-3.55, 9 Ce 3.52-3.56
Mg 0.1403 0.4642 0.1403  3 Mg 3.41-3.55, 9 Ce 3.52-3.56
Mg 0.4642 0.1403 0.1403  3 Mg 3.41-3.55, 9 Ce 3.52-3.56
Mg 0.5358 0.8597 0.8597  3 Mg 3.41-3.55, 9 Ce 3.52-3.56
Mg 0.8597 0.5358 0.8597  3 Mg 3.41-3.55, 9 Ce 3.52-3.56
Mg 0.8597 0.8597 0.5358  3 Mg 3.41-3.55, 9 Ce 3.52-3.56

## Properties
The size of the total moment comes out at 0.0 Bohr magnetons per cell.


7.
CePu2Mg: relaxed, GGA-PBE.

a b c (Å): 4.6716 4.6716 4.8674
angles (deg): 90.00 90.00 90.00
With the nearest neighbours (Å) after each atom.
Sites, in units of the cell vectors:
Ce 0.0000 0.0000 0.0000  4 Mg 3.30, 8 Pu 3.37
Pu 0.0000 0.5000 0.5000  4 Pu 3.30, 4 Ce 3.37, 4 Mg 3.37
Pu 0.5000 0.0000 0.5000  4 Pu 3.30, 4 Ce 3.37, 4 Mg 3.37
Mg 0.5000 0.5000 0.0000  4 Ce 3.30, 8 Pu 3.37

## Properties
The size of the total moment comes out at 13.0 Bohr magnetons per cell.


8.
CePuMg2: relaxed, GGA-PBE.

a b c (Å): 7.6282 7.6282 7.6282
angles (deg): 90.00 90.00 90.00
With the nearest neighbours (Å) after each atom.
Sites, in units of the cell vectors:
Ce 0.0000 0.0000 0.0000  8 Mg 3.30
Ce 0.0000 0.5000 0.5000  8 Mg 3.30
Ce 0.5000 0.0000 0.5000  8 Mg 3.30
Ce 0.5000 0.5000 0.0000  8 Mg 3.30
Pu 0.0000 0.0000 0.5000  8 Mg 3.30
Pu 0.0000 0.5000 0.0000  8 Mg 3.30
Pu 0.5000 0.0000 0.0000  8 Mg 3.30
Pu 0.5000 0.5000 0.5000  8 Mg 3.30
Mg 0.2500 0.2500 0.2500  4 Ce 3.30, 4 Pu 3.30
Mg 0.2500 0.2500 0.7500  4 Ce 3.30, 4 Pu 3.30
Mg 0.2500 0.7500 0.2500  4 Ce 3.30, 4 Pu 3.30
Mg 0.2500 0.7500 0.7500  4 Ce 3.30, 4 Pu 3.30
Mg 0.7500 0.2500 0.2500  4 Ce 3.30, 4 Pu 3.30
Mg 0.7500 0.2500 0.7500  4 Ce 3.30, 4 Pu 3.30
Mg 0.7500 0.7500 0.2500  4 Ce 3.30, 4 Pu 3.30
Mg 0.7500 0.7500 0.7500  4 Ce 3.30, 4 Pu 3.30

## Properties
The size of the total moment comes out at 29.4 Bohr magnetons per cell.


Respective energy of formation from the pure elements values: -0.813, -0.043, 0.037, 0.310, 0.089, -0.053, 0.160, 0.183 eV per atom.